1.
This record from the Alexandria database describes Tb6PrEr4 after structural relaxation. The functional is PBE.

The calculation puts the polymorph energy (0 for the lowest one) at 0 meV/atom. The final energy comes out at -4.495 eV per atom. The calculation puts the total magnetization at 0.00 μB/f.u. The formation enthalpy at 0 K comes out at 0.12 eV/atom.

The structure belongs to space group Cmcm (No. 63); the cell edges are 5.7299, 9.6142 and 25.6519 Å and the angles 90.00°, 90.00° and 90.00°. The asymmetric unit holds Tb at (0.0000, 0.0000, 0.0000), Tb at (0.0000, 0.0317, 0.2500), Tb at (0.0000, 0.3037, 0.6007), Tb at (0.0000, 0.3662, 0.1802), Pr at (0.0000, 0.3034, 0.7500), Er at (0.0000, 0.0368, 0.1216) and Er at (0.0000, 0.3460, 0.0423).


2.
This record from the Alexandria database describes TbPr4Er10 after structural relaxation. The functional is PBE.

The final energy comes out at -4.352 eV per atom. The calculation puts the total magnetization at 0.00 μB/f.u. The formation enthalpy at 0 K comes out at 0.27 eV/atom.

The structure belongs to space group I4/mmm (No. 139); the cell edges are 11.2547, 11.2547 and 7.9690 Å and the angles 90.00°, 90.00° and 90.00°. The asymmetric unit holds Tb at (0.0000, 0.0000, 0.0000), Pr at (0.2271, 0.2271, 0.0000), Er at (0.0000, 0.2078, 0.2945) and Er at (0.0000, 0.5000, 0.2500).


3.
This record from the Alexandria database describes Tb5Pr3Er4 after structural relaxation. The functional is PBE.

The calculation puts the polymorph energy (0 for the lowest one) at 252 meV/atom. The final energy comes out at -4.374 eV per atom. The calculation puts the total magnetization at 0.31 μB/f.u. The formation enthalpy at 0 K comes out at 0.27 eV/atom.

The structure belongs to space group C2/m (No. 12); the cell edges are 18.0403, 5.7542 and 8.7119 Å and the angles 90.00°, 117.48° and 90.00°. The asymmetric unit holds Tb at (0.0000, 0.0000, 0.0000), Tb at (0.1017, 0.5000, 0.4328), Tb at (0.1567, 0.5000, 0.8827), Pr at (0.0000, 0.5000, 0.0000), Pr at (0.1859, 0.0000, 0.2175), Er at (0.0323, 0.0000, 0.6941) and Er at (0.2037, 0.0000, 0.6482).


4.
This record from the Alexandria database describes TbPr2Er after structural relaxation. The functional is PBE.

The calculation puts the polymorph energy (0 for the lowest one) at 0 meV/atom. The final energy comes out at -4.675 eV per atom. The calculation puts the total magnetization at 0.00 μB/f.u. The formation enthalpy at 0 K comes out at 0.01 eV/atom.

The structure belongs to space group R-3m (No. 166, hexagonal axes); the cell edges are 3.6318, 3.6318 and 35.1647 Å and the angles 90.00°, 90.00° and 120.00°. The asymmetric unit holds Tb at (0.0000, 0.0000, 0.0000), Pr at (0.0000, 0.0000, 0.2495) and Er at (0.0000, 0.0000, 0.5000).